(1)
## TaHgBr2 (PBE)

Data for TaHgBr2 after structural relaxation.

Computed properties:
Crystal system: monoclinic
E_form (uncorrected) (eV/atom): 0.59
Theoretical density (Mg/m³): 9.83

Unit cell a=6.3796 b=9.7393 c=3.2282 alpha=90.00 beta=114.24 gamma=90.00
Space group C2/m (No. 12)
Inequivalent atoms, fractional coordinates:
Ta  0.0000  0.0000  0.0000 x2
Hg  0.0000  0.5000  0.0000 x2
Br  0.2500  0.2500  0.0000 x4


(2)
## Ac4HgPdRh2 (PBE)

Data for Ac4HgPdRh2 after structural relaxation.

Computed properties:
Final energy (eV per atom): -5.101
Crystal system: orthorhombic
Theoretical density (Mg/m³): 9.19

Unit cell a=4.3835 b=13.4073 c=17.4725 alpha=90.00 beta=90.00 gamma=90.00
Space group Cmcm (No. 63)
Inequivalent atoms, fractional coordinates:
Ac  0.0000  0.0000  0.0000 x4
Ac  0.0000  0.2769  0.0909 x8
Ac  0.0000  0.4256  0.7500 x4
Hg  0.0000  0.1290  0.7500 x4
Pd  0.0000  0.2331  0.2500 x4
Rh  0.0000  0.3726  0.5643 x8


(3)
## Pm4Pr3 (PBE)

Data for Pm4Pr3 after structural relaxation.

Computed properties:
Final energy (eV per atom): -4.750
Crystal system: monoclinic
Theoretical density (Mg/m³): 6.75

Unit cell a=11.6362 b=5.2042 c=8.2306 alpha=90.00 beta=98.06 gamma=90.00
Space group C2/m (No. 12)
Inequivalent atoms, fractional coordinates:
Pm  0.0716  0.0000  0.2119 x4
Pm  0.1425  0.5000  0.9293 x4
Pr  0.0000  0.5000  0.5000 x2
Pr  0.2141  0.0000  0.6445 x4


(4)
## Pr2Ga2HgPd5 (PBE)

Data for Pr2Ga2HgPd5 after structural relaxation.

Computed properties:
Final energy (eV per atom): -4.812
Crystal system: tetragonal
Theoretical density (Mg/m³): 9.84

Unit cell a=10.1455 b=10.1455 c=3.7853 alpha=90.00 beta=90.00 gamma=90.00
Space group P4/mbm (No. 127)
Inequivalent atoms, fractional coordinates:
Pr  0.1791  0.3209  0.0000 x4
Ga  0.1188  0.6188  0.0000 x4
Hg  0.0000  0.0000  0.0000 x2
Pd  0.0000  0.5000  0.5000 x2
Pd  0.0628  0.7864  0.5000 x8